A plane-wave DFT calculation with PBE was carried out for an optimized crystal structure of Sc2GaHIr. Values from VASP.

```
&SYSTEM
  ibrav = 0, nat = 5, ntyp = 4
/
ATOMIC_SPECIES
H 1.01 H.upf
Ir 192.22 Ir.upf
Sc 44.96 Sc.upf
Ga 69.72 Ga.upf
ATOMIC_POSITIONS crystal
H 0.0000 0.0000 0.0000
Ir 0.0000 0.0000 0.5000
Sc 0.0000 0.5000 0.0000
Sc 0.5000 0.0000 0.0000
Ga 0.5000 0.5000 0.5000
CELL_PARAMETERS angstrom
4.4644 0.0000 0.0000
0.0000 4.4644 0.0000
0.0000 0.0000 3.7116
```

Computed properties:
V	14.79	A^3/atom
crystal system	tetragonal
electronic total energy	-31.3	eV for the cell shown